1.
The following is a DFT calculation (PBE) of a relaxed structure of BeCu3Ni.

CIF file:
```
data_BeCu3Ni
_chemical_formula_sum 'Be1 Cu3 Ni1'
_space_group_name_H-M_alt 'P m -3 m'
_space_group_IT_number 221
_space_group_name_Hall '-P 4 2 3'
_cell_length_a 3.9474
_cell_length_b 3.9474
_cell_length_c 3.9474
_cell_angle_alpha 90.00
_cell_angle_beta 90.00
_cell_angle_gamma 90.00
loop_
_atom_site_label
_atom_site_fract_x
_atom_site_fract_y
_atom_site_fract_z
Be1 0.0000 0.0000 0.0000
Cu1 0.0000 0.0000 0.5000
Ni1 0.5000 0.5000 0.5000
```

Properties
**Polymorph energy (0 for the lowest one)**: 0.000 eV per atom
**Calculated formation energy**: 0.529 eV/atom
**VASP energy**: -3.83 eV per atom

---

2.
The following is a DFT calculation (PBE) of a relaxed structure of ZrCoOs3.

CIF file:
```
data_ZrCoOs3
_chemical_formula_sum 'Zr1 Co1 Os3'
_space_group_name_H-M_alt 'P m -3 m'
_space_group_IT_number 221
_space_group_name_Hall '-P 4 2 3'
_cell_length_a 4.7835
_cell_length_b 4.7835
_cell_length_c 4.7835
_cell_angle_alpha 90.00
_cell_angle_beta 90.00
_cell_angle_gamma 90.00
loop_
_atom_site_label
_atom_site_fract_x
_atom_site_fract_y
_atom_site_fract_z
Zr1 0.0000 0.0000 0.0000
Co1 0.5000 0.5000 0.5000
Os1 0.0000 0.0000 0.5000
```

Properties
**Polymorph energy (0 for the lowest one)**: 1.661 eV per atom
**Calculated formation energy**: 2.768 eV/atom
**VASP energy**: -7.10 eV per atom

---

3.
The following is a DFT calculation (PBE) of a relaxed structure of Ac5La5Dy2.

CIF file:
```
data_Ac5La5Dy2
_chemical_formula_sum 'Ac10 La10 Dy4'
_space_group_name_H-M_alt 'C 1 2/m 1'
_space_group_IT_number 12
_space_group_name_Hall '-C 2y'
_cell_length_a 16.1818
_cell_length_b 5.4030
_cell_length_c 12.0526
_cell_angle_alpha 90.00
_cell_angle_beta 116.54
_cell_angle_gamma 90.00
loop_
_atom_site_label
_atom_site_fract_x
_atom_site_fract_y
_atom_site_fract_z
Ac1 0.0000 0.0000 0.0000
Ac2 0.1611 0.0000 0.4962
Ac3 0.2468 0.5000 0.7525
La1 0.0000 0.5000 0.5000
La2 0.0779 0.5000 0.2468
La3 0.1671 0.5000 0.9997
Dy1 0.0845 0.0000 0.7554
```

Properties
**Calculated formation energy**: 0.035 eV/atom
**VASP energy**: -4.50 eV per atom

---

4.
The following is a DFT calculation (PBE) of a relaxed structure of KYTeSe.

CIF file:
```
data_KYTeSe
_chemical_formula_sum 'K3 Y3 Te3 Se3'
_space_group_name_H-M_alt 'R 3 m'
_space_group_IT_number 160
_space_group_name_Hall 'R 3 -2"'
_cell_length_a 4.3214
_cell_length_b 4.3214
_cell_length_c 24.5376
_cell_angle_alpha 90.00
_cell_angle_beta 90.00
_cell_angle_gamma 120.00
loop_
_atom_site_label
_atom_site_fract_x
_atom_site_fract_y
_atom_site_fract_z
K1 0.0000 0.0000 0.0000
Y1 0.0000 0.0000 0.1601
Te1 0.0000 0.0000 0.5676
Se1 0.0000 0.0000 0.7644
```

Properties
**VASP energy**: -5.10 eV per atom
**Raw formation energy**: -1.55 eV per atom

---

5.
The following is a DFT calculation (PBE) of a relaxed structure of CdSi2Hg2.

CIF file:
```
data_CdSi2Hg2
_chemical_formula_sum 'Cd2 Si4 Hg4'
_space_group_name_H-M_alt 'I 4/m m m'
_space_group_IT_number 139
_space_group_name_Hall '-I 4 2'
_cell_length_a 4.5233
_cell_length_b 4.5233
_cell_length_c 11.0597
_cell_angle_alpha 90.00
_cell_angle_beta 90.00
_cell_angle_gamma 90.00
loop_
_atom_site_label
_atom_site_fract_x
_atom_site_fract_y
_atom_site_fract_z
Cd1 0.0000 0.0000 0.0000
Si1 0.0000 0.0000 0.3944
Hg1 0.0000 0.5000 0.2500
```

Properties
**Polymorph energy (0 for the lowest one)**: 0.051 eV per atom
**VASP energy**: -2.05 eV per atom
**Raw formation energy**: 0.43 eV per atom

---

6.
The following is a DFT calculation (PBE) of a relaxed structure of VPd5Au6.

CIF file:
```
data_VPd5Au6
_chemical_formula_sum 'V1 Pd5 Au6'
_space_group_name_H-M_alt 'P -1'
_space_group_IT_number 2
_space_group_name_Hall '-P 1'
_cell_length_a 4.0306
_cell_length_b 6.4165
_cell_length_c 8.0651
_cell_angle_alpha 90.04
_cell_angle_beta 90.07
_cell_angle_gamma 107.88
loop_
_atom_site_label
_atom_site_fract_x
_atom_site_fract_y
_atom_site_fract_z
V1 0.0000 0.0000 0.0000
Pd1 0.0000 0.0000 0.5000
Pd2 0.3333 0.6665 0.5000
Pd3 0.3399 0.6820 0.0000
Au1 0.1665 0.3329 0.7522
Au2 0.1668 0.3329 0.2477
Au3 0.5002 0.0000 0.2498
```

Properties
**Calculated formation energy**: -0.086 eV/atom
**VASP energy**: -4.65 eV per atom

---

Question: What is the formula in the fifth record?
Answer: CdSi2Hg2